PBE ZnCo2RuC, optimized geometry; calculated total energy = -33.7 eV/cell; symmetry = No. 123; calculated formation energy = 0.0472 eV per atom
1.0
-0.327 -3.036 2.230
-1.375 -1.988 -2.908
3.709 -1.123 -0.986
Zn Co C Ru
1 2 1 1
direct
0.500 0.500 0.500
0.500 0.000 0.000
0.000 0.500 0.000
0.000 0.000 0.000
0.000 0.000 0.500


PBE TmCd2F6, optimized geometry; calculated total energy = -85.0 eV/cell; symmetry = No. 14; formation energy without anion corrections = -64.001 kcal/mol of atoms
1.0
6.097 0.000 0.023
0.000 5.650 0.000
-0.660 0.000 9.546
Cd F Tm
4 12 2
direct
0.014 0.524 0.197
0.514 0.976 0.697
0.486 0.024 0.303
0.986 0.476 0.803
0.163 0.194 0.672
0.337 0.694 0.828
0.355 0.728 0.152
0.689 0.179 0.507
0.855 0.772 0.652
0.645 0.272 0.848
0.663 0.306 0.172
0.189 0.321 0.007
0.311 0.821 0.493
0.837 0.806 0.328
0.811 0.679 0.993
0.145 0.228 0.348
0.000 0.000 0.500
0.500 0.500 0.000


PBE Mg5Tl3Pb3, optimized geometry; calculated total energy = -23.8 eV/cell; symmetry = No. 189; calculated formation energy = 0.2170 eV per atom
1.0
4.914 0.000 0.000
0.000 9.241 0.000
0.000 -4.621 8.003
Mg Pb Tl
5 3 3
direct
0.500 0.667 0.000
0.500 0.000 0.667
0.500 0.333 0.333
0.500 0.333 0.667
0.500 0.667 0.333
0.000 0.509 0.509
0.000 0.000 0.491
0.000 0.491 0.000
0.500 0.273 0.000
0.500 0.727 0.727
0.500 0.000 0.273


PBE ThInGa2, optimized geometry; calculated total energy = -17.3 eV/cell; symmetry = No. 166; calculated formation energy = -0.2619 eV per atom
1.0
-1.134 3.923 -2.197
-2.498 -0.168 -3.903
-5.437 1.538 0.659
Ga In Th
2 1 1
direct
0.770 0.770 0.690
0.230 0.230 0.310
0.500 0.500 0.500
0.000 0.000 0.000


PBE KVRhS3, optimized geometry; calculated total energy = -70.3 eV/cell; symmetry = No. 11; formation energy without anion corrections = -19.993 kcal/mol of atoms
1.0
-2.639 1.621 1.914
-1.256 -6.792 4.019
6.332 6.002 3.648
S K Rh V
6 2 2 2
direct
0.250 0.126 0.864
0.750 0.524 0.181
0.750 0.874 0.136
0.250 0.476 0.819
0.750 0.192 0.502
0.250 0.808 0.498
0.750 0.760 0.763
0.250 0.240 0.237
0.250 0.675 0.122
0.750 0.325 0.878
0.750 0.861 0.375
0.250 0.139 0.625


PBE LaNd2Zr, optimized geometry; calculated total energy = -21.6 eV/cell; symmetry = No. 166; calculated formation energy = 0.3427 eV per atom
1.0
3.449 0.000 0.000
1.725 2.987 0.000
1.725 0.996 12.341
Zr Nd La
1 2 1
direct
0.000 0.000 0.000
0.084 0.084 0.747
0.916 0.916 0.253
0.500 0.500 0.500


PBE CsCoAs, optimized geometry; calculated total energy = -27.1 eV/cell; symmetry = No. 2; calculated formation energy = -0.3206 eV per atom
1.0
-1.099 -0.354 -3.817
-11.374 -2.507 3.751
-0.560 3.943 -0.203
Co As Cs
2 2 2
direct
0.467 0.078 0.725
0.967 0.078 0.225
0.461 0.978 0.198
0.973 0.177 0.751
0.483 0.356 0.299
0.950 0.800 0.649


PBE Tb2AlCrS6, optimized geometry; calculated total energy = -61.1 eV/cell; symmetry = No. 146; formation energy without anion corrections = -31.682 kcal/mol of atoms
1.0
-5.758 2.807 -1.472
-2.078 0.163 -6.233
-5.159 -3.856 -1.846
Tb Al S Cr
2 1 6 1
direct
0.033 0.033 0.902
0.530 0.530 0.411
0.317 0.317 0.049
0.589 0.177 0.267
0.674 0.086 0.770
0.966 0.589 0.267
0.469 0.674 0.770
0.086 0.469 0.770
0.177 0.966 0.267
0.820 0.820 0.539


PBE SmLuThGa, optimized geometry; calculated total energy = -20.0 eV/cell; symmetry = No. 216; calculated formation energy = -0.0660 eV per atom
1.0
5.365 0.000 0.000
2.682 4.646 0.000
2.682 1.549 4.380
Lu Sm Th Ga
1 1 1 1
direct
0.750 0.750 0.750
0.500 0.500 0.500
0.000 0.000 0.000
0.250 0.250 0.250


PBE Rb3Ac2MnTe6, optimized geometry; calculated total energy = -52.1 eV/cell; symmetry = No. 12; formation energy without anion corrections = -24.867 kcal/mol of atoms
1.0
-5.804 -5.726 0.121
7.656 -1.820 2.137
-2.423 4.548 7.369
Mn Ac Te Rb
1 2 6 3
direct
0.000 0.000 0.000
0.667 0.333 0.000
0.333 0.667 0.000
0.931 0.629 0.798
0.778 0.778 0.192
0.371 0.069 0.202
0.629 0.931 0.798
0.069 0.371 0.202
0.222 0.222 0.808
0.173 0.827 0.500
0.500 0.500 0.500
0.827 0.173 0.500


PBE Cs3Hg2Br8, optimized geometry; calculated total energy = -29.7 eV/cell; symmetry = No. 166; formation energy without anion corrections = -23.251 kcal/mol of atoms
1.0
-6.905 1.643 -3.230
-5.713 -5.307 0.100
-7.620 2.627 8.213
Cs Br Hg
3 8 2
direct
0.000 0.000 0.000
0.208 0.208 0.376
0.792 0.792 0.624
0.257 0.798 0.688
0.257 0.257 0.688
0.321 0.321 0.037
0.743 0.743 0.312
0.798 0.257 0.688
0.679 0.679 0.963
0.743 0.202 0.312
0.202 0.743 0.312
0.597 0.597 0.209
0.403 0.403 0.791


PBE Li6PuBi4, optimized geometry; calculated total energy = -45.4 eV/cell; symmetry = No. 187; calculated formation energy = -0.3725 eV per atom
1.0
4.495 0.000 0.000
0.000 8.122 0.000
0.000 -4.061 7.034
Li Bi Pu
6 4 1
direct
0.500 0.215 0.429
0.000 0.534 0.067
0.500 0.571 0.785
0.000 0.933 0.466
0.500 0.215 0.785
0.000 0.534 0.466
0.500 0.355 0.177
0.000 0.333 0.667
0.500 0.823 0.645
0.500 0.823 0.177
0.000 0.000 0.000


no.,calculated volume (Å³ per cell),theoretical density (g/cm3),total magnetization (μB per formula unit)
1,57,8.61,1.9
2,329,5.13,0.0
3,363,6.20,0.0
4,93,8.64,0.0
5,246,3.91,0.0
6,127,6.77,0.0
7,194,4.57,0.4
8,207,4.74,3.0
9,109,9.54,0.0
10,491,5.18,4.0
11,558,4.28,0.0
12,257,7.25,5.2